Here is a geometry-optimized TePtPb2 structure from Alexandria via LeMat-Bulk. Energies are from PBE. Values from VASP.

Structure (Quantum ESPRESSO input):
```
&SYSTEM
  ibrav = 0, nat = 4, ntyp = 3
/
ATOMIC_SPECIES
Te 127.60 Te.upf
Pt 195.08 Pt.upf
Pb 207.20 Pb.upf
CELL_PARAMETERS angstrom
3.195 -4.081 0.000
3.195 4.081 0.000
0.000 0.000 4.039
ATOMIC_POSITIONS angstrom
Te 0.000 0.000 0.000
Pt 3.195 0.000 0.000
Pb 1.597 2.040 2.019
Pb 1.597 -2.040 2.019
```

Properties
Total magnetic moment in Bohr magnetons per cell: 0.00
VASP energy in eV/cell: -16.38
Volume in Å³ per atom: 26.33
DOS(E_F) in states/eV per atom: 0.40
SG: Cmmm
Formation energy from raw total energies in eV/atom: 0.056

Here is a geometry-optimized Lu2HgSb structure from Alexandria via LeMat-Bulk. Energies are from PBE. Values from VASP.

Structure (Quantum ESPRESSO input):
```
&SYSTEM
  ibrav = 0, nat = 4, ntyp = 3
/
ATOMIC_SPECIES
Lu 174.97 Lu.upf
Hg 200.59 Hg.upf
Sb 121.76 Sb.upf
CELL_PARAMETERS angstrom
2.393 1.382 5.331
-2.393 1.382 5.331
0.000 -2.764 5.331
ATOMIC_POSITIONS angstrom
Lu 0.000 0.000 3.921
Lu 0.000 0.000 12.071
Hg 0.000 0.000 7.996
Sb 0.000 0.000 0.000
```

Properties
Total magnetic moment in Bohr magnetons per cell: 0.00
VASP energy in eV/cell: -15.59
Volume in Å³ per atom: 26.44
DOS(E_F) in states/eV per atom: 1.07
SG: R-3m
Offset from the most stable computed form in meV per atom: 49
Formation energy from raw total energies in eV/atom: -0.531

Here is a geometry-optimized Pm2HoTl2Cd2 structure from Alexandria via LeMat-Bulk. Energies are from PBE. Values from VASP.

Structure (Quantum ESPRESSO input):
```
&SYSTEM
  ibrav = 0, nat = 7, ntyp = 4
/
ATOMIC_SPECIES
Pm 145.00 Pm.upf
Ho 164.93 Ho.upf
Tl 204.38 Tl.upf
Cd 112.41 Cd.upf
CELL_PARAMETERS angstrom
2.499 1.443 9.211
-2.499 1.443 9.211
0.000 -2.886 9.211
ATOMIC_POSITIONS angstrom
Pm 0.000 0.000 3.485
Pm 0.000 0.000 24.148
Ho 0.000 0.000 0.000
Tl 0.000 0.000 7.166
Tl 0.000 0.000 20.468
Cd 0.000 0.000 10.728
Cd 0.000 0.000 16.905
```

Properties
Total magnetic moment in Bohr magnetons per cell: 0.00
VASP energy in eV/cell: -21.73
Volume in Å³ per atom: 28.47
DOS(E_F) in states/eV per atom: 0.72
SG: R-3m

Here is a geometry-optimized CdIn2P2 structure from Alexandria via LeMat-Bulk. Energies are from PBE. Values from VASP.

Structure (Quantum ESPRESSO input):
```
&SYSTEM
  ibrav = 0, nat = 10, ntyp = 3
/
ATOMIC_SPECIES
Cd 112.41 Cd.upf
In 114.82 In.upf
P 30.97 P.upf
CELL_PARAMETERS angstrom
7.565 0.000 0.000
0.000 7.565 0.000
0.000 0.000 3.837
ATOMIC_POSITIONS angstrom
Cd 0.000 0.000 0.000
Cd 3.783 3.783 0.000
In 1.095 2.688 1.919
In 2.688 6.470 1.919
In 4.877 1.095 1.919
In 6.470 4.877 1.919
P 1.294 5.076 0.000
P 2.489 1.294 0.000
P 5.076 6.271 0.000
P 6.271 2.489 0.000
```

Properties
Total magnetic moment in Bohr magnetons per cell: 0.00
VASP energy in eV/cell: -32.49
Volume in Å³ per atom: 21.96
DOS(E_F) in states/eV per atom: 0.44
SG: P4/mbm
Offset from the most stable computed form in meV per atom: 0

Here is a geometry-optimized Pr2SmI structure from Alexandria via LeMat-Bulk. Energies are from PBE. Values from VASP.

Structure (Quantum ESPRESSO input):
```
&SYSTEM
  ibrav = 0, nat = 4, ntyp = 3
/
ATOMIC_SPECIES
Pr 140.91 Pr.upf
Sm 150.36 Sm.upf
I 126.90 I.upf
CELL_PARAMETERS angstrom
3.745 0.000 0.000
0.000 3.745 0.000
0.000 0.000 9.860
ATOMIC_POSITIONS angstrom
Pr 0.000 0.000 2.377
Pr 0.000 0.000 7.483
Sm 1.872 1.872 4.930
I 1.872 1.872 0.000
```

Properties
Total magnetic moment in Bohr magnetons per cell: 0.00
VASP energy in eV/cell: -17.25
Volume in Å³ per atom: 34.56
DOS(E_F) in states/eV per atom: 1.00
SG: P4/mmm
Offset from the most stable computed form in meV per atom: 49
Formation energy from raw total energies in eV/atom: -0.356

Here is a geometry-optimized Dy2YScTe6 structure from Alexandria via LeMat-Bulk. Energies are from PBE. Values from VASP.

Structure (Quantum ESPRESSO input):
```
&SYSTEM
  ibrav = 0, nat = 10, ntyp = 4
/
ATOMIC_SPECIES
Dy 162.50 Dy.upf
Y 88.91 Y.upf
Sc 44.96 Sc.upf
Te 127.60 Te.upf
CELL_PARAMETERS angstrom
3.798 2.193 6.937
-3.798 2.193 6.937
0.000 -4.385 6.937
ATOMIC_POSITIONS angstrom
Dy 0.000 0.000 0.000
Dy 0.000 0.000 10.372
Y 0.000 0.000 3.839
Sc 0.000 0.000 14.208
Te -1.316 -2.326 8.855
Te -2.345 0.043 12.392
Te -1.357 2.303 8.855
Te 1.136 -2.053 12.392
Te 2.673 0.023 8.855
Te 1.210 2.010 12.392
```

Properties
Total magnetic moment in Bohr magnetons per cell: 0.00
VASP energy in eV/cell: -54.03
Volume in Å³ per atom: 34.66
SG: R3
Formation energy from raw total energies in eV/atom: -1.318

Here is a geometry-optimized FeCuPb2 structure from Alexandria via LeMat-Bulk. Energies are from PBE. Values from VASP.

Structure (Quantum ESPRESSO input):
```
&SYSTEM
  ibrav = 0, nat = 4, ntyp = 3
/
ATOMIC_SPECIES
Fe 55.84 Fe.upf
Cu 63.55 Cu.upf
Pb 207.20 Pb.upf
CELL_PARAMETERS angstrom
3.788 0.000 0.000
0.000 4.149 0.000
-1.884 0.000 5.169
ATOMIC_POSITIONS angstrom
Fe 0.000 0.000 0.000
Cu 1.900 2.074 3.705
Pb 0.007 0.000 2.926
Pb 1.891 2.074 0.734
```

Properties
Total magnetic moment in Bohr magnetons per cell: 2.47
VASP energy in eV/cell: -18.65
Volume in Å³ per atom: 20.31
DOS(E_F) in states/eV per atom: 0.68
SG: Pm
Offset from the most stable computed form in meV per atom: 0

Here is a geometry-optimized NbInSn2 structure from Alexandria via LeMat-Bulk. Energies are from PBE. Values from VASP.

Structure (Quantum ESPRESSO input):
```
&SYSTEM
  ibrav = 0, nat = 4, ntyp = 3
/
ATOMIC_SPECIES
Nb 92.91 Nb.upf
In 114.82 In.upf
Sn 118.71 Sn.upf
CELL_PARAMETERS angstrom
3.041 0.000 0.000
0.000 10.894 0.000
-0.342 0.000 3.023
ATOMIC_POSITIONS angstrom
Nb 0.000 0.000 0.000
In 1.376 5.447 1.510
Sn 1.350 2.224 1.510
Sn 1.350 8.670 1.510
```

Properties
Total magnetic moment in Bohr magnetons per cell: 0.00
VASP energy in eV/cell: -20.71
Volume in Å³ per atom: 25.04
DOS(E_F) in states/eV per atom: 0.47
SG: Pm

Here is a geometry-optimized Ac2TbPm structure from Alexandria via LeMat-Bulk. Energies are from PBE. Values from VASP.

Structure (Quantum ESPRESSO input):
```
&SYSTEM
  ibrav = 0, nat = 4, ntyp = 3
/
ATOMIC_SPECIES
Ac 227.00 Ac.upf
Tb 158.93 Tb.upf
Pm 145.00 Pm.upf
CELL_PARAMETERS angstrom
0.000 4.266 4.266
4.266 0.000 4.266
4.266 4.266 0.000
ATOMIC_POSITIONS angstrom
Ac 2.133 2.133 2.133
Ac 6.399 6.399 6.399
Tb 0.000 0.000 0.000
Pm 4.266 4.266 4.266
```

Properties
Total magnetic moment in Bohr magnetons per cell: 0.00
VASP energy in eV/cell: -17.17
Volume in Å³ per atom: 38.81
DOS(E_F) in states/eV per atom: 1.85
SG: Fm-3m
Offset from the most stable computed form in meV per atom: 71

Here is a geometry-optimized Na2Si2Sn structure from Alexandria via LeMat-Bulk. Energies are from PBE. Values from VASP.

Structure (Quantum ESPRESSO input):
```
&SYSTEM
  ibrav = 0, nat = 10, ntyp = 3
/
ATOMIC_SPECIES
Na 22.99 Na.upf
Si 28.09 Si.upf
Sn 118.71 Sn.upf
CELL_PARAMETERS angstrom
8.064 0.000 0.000
0.000 8.064 0.000
0.000 0.000 3.395
ATOMIC_POSITIONS angstrom
Na 1.544 2.489 0.000
Na 2.489 6.521 0.000
Na 5.576 1.544 0.000
Na 6.521 5.576 0.000
Si 0.828 4.860 1.698
Si 3.204 0.828 1.698
Si 4.860 7.236 1.698
Si 7.236 3.204 1.698
Sn 0.000 0.000 1.698
Sn 4.032 4.032 1.698
```

Properties
Total magnetic moment in Bohr magnetons per cell: 0.00
VASP energy in eV/cell: -32.99
Volume in Å³ per atom: 22.08
DOS(E_F) in states/eV per atom: 0.34
SG: P4/mbm
Formation energy from raw total energies in eV/atom: 0.198

What is the VASP energy in the eighth record? -20.71 eV/cell